Entry 1:
Entry from Alexandria: a relaxed structure of Li2TaZn (PBE-GGA).

POSCAR file:
```
Li2TaZn
1.0
4.403 -0.016 0.000
0.008 4.403 0.000
-2.205 -2.194 3.116
Li Ta Zn
2 1 1
direct
0.000 0.000 0.000
0.250 0.750 0.500
0.500 0.500 0.000
0.750 0.250 0.500
```

---

Entry 2:
Entry from Alexandria: a relaxed structure of LiTaZn (PBE-GGA).

POSCAR file:
```
LiTaZn
1.0
-1.864 -5.126 -3.070
0.246 -1.556 2.448
-10.425 2.291 2.504
Zn Li Ta
4 4 4
direct
0.860 0.250 0.748
0.640 0.750 0.248
0.140 0.750 0.252
0.360 0.250 0.752
0.890 0.250 0.402
0.610 0.750 0.902
0.110 0.750 0.598
0.390 0.250 0.098
0.396 0.250 0.414
0.104 0.750 0.914
0.604 0.750 0.586
0.896 0.250 0.086
```

Summary:
**Excess energy over the best structure of this formula in the dataset**: 0.45 eV/f.u.

---

Entry 3:
Entry from Alexandria: a relaxed structure of LiTa2Zn (PBE-GGA).

POSCAR file:
```
LiTa2Zn
1.0
4.558 0.000 0.000
2.279 3.948 0.000
2.279 1.316 3.722
Li Ta Zn
1 2 1
direct
0.500 0.500 0.500
0.000 0.000 0.000
0.250 0.250 0.250
0.750 0.750 0.750
```

---

Entry 4:
Entry from Alexandria: a relaxed structure of Li2TaZn (PBE-GGA).

POSCAR file:
```
Li2TaZn
1.0
-1.065 3.278 -4.702
-4.646 -0.780 -3.434
2.632 1.351 5.023
Li Ta Zn
2 1 1
direct
0.025 0.025 0.000
0.475 0.475 0.000
0.750 0.250 0.500
0.250 0.750 0.500
```

---

Entry 5:
Entry from Alexandria: a relaxed structure of LiTaZn (PBE-GGA).

POSCAR file:
```
LiTaZn
1.0
7.318 0.000 0.000
0.000 5.249 0.000
0.000 0.000 4.566
Zn Li Ta
4 4 4
direct
0.000 0.000 0.000
0.500 0.500 0.500
0.500 0.000 0.500
0.000 0.500 0.000
0.699 0.250 0.000
0.801 0.750 0.500
0.301 0.750 0.000
0.199 0.250 0.500
0.358 0.250 0.000
0.142 0.750 0.500
0.642 0.750 0.000
0.858 0.250 0.500
```

Summary:
**Excess energy over the best structure of this formula in the dataset**: 1.48 eV/f.u.

---

Entry 6:
Entry from Alexandria: a relaxed structure of Li2TaZn2 (PBE-GGA).

POSCAR file:
```
Li2TaZn2
1.0
7.414 0.000 0.000
0.000 7.414 0.000
0.000 0.000 2.639
Zn Li Ta
4 4 2
direct
0.185 0.685 0.500
0.685 0.815 0.500
0.815 0.315 0.500
0.315 0.185 0.500
0.383 0.883 0.000
0.883 0.617 0.000
0.617 0.117 0.000
0.117 0.383 0.000
0.000 0.000 0.000
0.500 0.500 0.000
```

Summary:
**Excess energy over the best structure of this formula in the dataset**: 0.00 eV/f.u.

---

Entry 7:
Entry from Alexandria: a relaxed structure of LiTaZn (PBE-GGA).

POSCAR file:
```
LiTaZn
1.0
2.649 0.000 -0.005
0.000 4.482 0.000
0.168 0.000 8.011
Zn Li Ta
2 2 2
direct
0.897 0.500 0.221
0.357 0.500 0.909
0.463 0.000 0.077
0.060 0.000 0.382
0.896 0.000 0.736
0.429 0.500 0.547
```

Summary:
**Excess energy over the best structure of this formula in the dataset**: 0.36 eV/f.u.

---

Entry 8:
Entry from Alexandria: a relaxed structure of LiTaZn (PBE-GGA).

POSCAR file:
```
LiTaZn
1.0
2.818 0.000 0.000
0.000 2.818 0.000
0.000 0.000 12.244
Zn Li Ta
2 2 2
direct
0.000 0.500 0.765
0.500 0.000 0.235
0.000 0.500 0.088
0.500 0.000 0.912
0.000 0.500 0.405
0.500 0.000 0.595
```

Summary:
**Excess energy over the best structure of this formula in the dataset**: 0.00 eV/f.u.

---

Entry 9:
Entry from Alexandria: a relaxed structure of Li3TaZn (PBE-GGA).

POSCAR file:
```
Li3TaZn
1.0
4.333 0.000 0.000
0.000 4.333 0.000
0.000 0.000 4.333
Zn Li Ta
1 3 1
direct
0.000 0.000 0.000
0.000 0.500 0.000
0.000 0.000 0.500
0.500 0.000 0.000
0.500 0.500 0.500
```

Summary:
**Excess energy over the best structure of this formula in the dataset**: 0.00 eV/f.u.

---

Entry 10:
Entry from Alexandria: a relaxed structure of LiTaZn (PBE-GGA).

POSCAR file:
```
LiTaZn
1.0
-2.072 -4.554 4.819
2.621 -0.076 1.060
-2.038 4.594 1.602
Zn Li Ta
2 2 2
direct
0.189 0.475 0.449
0.811 0.525 0.551
0.885 0.820 0.140
0.115 0.180 0.860
0.534 0.138 0.780
0.466 0.862 0.220
```

Summary:
**Excess energy over the best structure of this formula in the dataset**: 0.31 eV/f.u.

---

Entry 11:
Entry from Alexandria: a relaxed structure of LiTaZn (PBE-GGA).

POSCAR file:
```
LiTaZn
1.0
3.594 0.000 0.000
0.000 3.594 0.000
0.000 0.000 7.049
Zn Li Ta
2 2 2
direct
0.000 0.000 0.500
0.500 0.500 0.500
0.000 0.500 0.268
0.500 0.000 0.732
0.000 0.500 0.899
0.500 0.000 0.101
```

Summary:
**Excess energy over the best structure of this formula in the dataset**: 1.01 eV/f.u.

---

Entry 12:
Entry from Alexandria: a relaxed structure of LiTa2Zn (PBE-GGA).

POSCAR file:
```
LiTa2Zn
1.0
-0.615 0.469 3.955
0.226 -3.937 0.502
3.922 0.298 0.574
Li Ta Zn
1 2 1
direct
0.500 0.000 0.500
0.000 0.000 0.000
0.000 0.500 0.500
0.500 0.500 0.000
```

---

| no. | magnetization (μB per atom) | formation energy from the elements (eV/atom) |
| --- | --- | --- |
| 1 | 0.000 | 0.413 |
| 2 | 0.000 | 0.124 |
| 3 | 0.000 | 0.503 |
| 4 | 0.000 | 0.233 |
| 5 | 0.000 | 0.468 |
| 6 | 0.000 | 0.068 |
| 7 | 0.000 | 0.094 |
| 8 | 0.000 | -0.026 |
| 9 | 0.000 | 0.906 |
| 10 | 0.000 | 0.078 |
| 11 | 0.000 | 0.311 |
| 12 | 0.000 | 0.262 |